#A
The following is a PBE-GGA calculation of a relaxed KZnRe crystal, from Alexandria.

a = 8.186 Å, b = 8.186 Å, c = 8.186 Å
α = 161.01°, β = 161.01°, γ = 26.99°
Fractional coordinates of all 3 atoms:
K  0.998  0.998  0.000
Zn  0.686  0.686  0.000
Re  0.316  0.316  0.000

SG: I4mm
N(E_F) in states/eV per atom: 0.56
V in Å³/atom: 19.36


#B
The following is a PBE-GGA calculation of a relaxed KZnRe crystal, from Alexandria.

a = 6.606 Å, b = 6.606 Å, c = 6.606 Å
α = 157.17°, β = 141.10°, γ = 45.58°
Fractional coordinates of all 3 atoms:
Re  0.277  0.277  0.000
K  0.999  0.999  0.000
Zn  0.724  0.724  0.000

SG: Imm2
N(E_F) in states/eV per atom: 1.06
V in Å³/atom: 23.36


#B has the most favorable energy; the next structure is 5 meV per atom above.